No. 1
Nd2Zn5CuRu2, optimized geometry, DFT PBE; DOS(E_F) = 12.1 states/eV/cell; total moment = 0.00 μB per formula unit; ΔH_f (0 K) = -0.1288 eV/atom; VASP energy = -3.984 eV per atom
1.0
-0.4264 3.1222 -1.2405
0.0144 -3.7940 -9.5535
-10.1975 -1.2081 0.4644
Zn Ru Cu Nd
10 4 2 4
direct
0.5000 0.3133 0.5512
0.5000 0.8133 0.9488
0.5000 0.9488 0.1867
0.5000 0.4488 0.3133
0.5000 0.6867 0.4488
0.5000 0.0000 0.5000
0.5000 0.1867 0.0512
0.5000 0.5000 0.0000
0.5000 0.5512 0.6867
0.5000 0.0512 0.8133
0.0000 0.6318 0.8682
0.0000 0.3682 0.1318
0.0000 0.8682 0.3682
0.0000 0.1318 0.6318
0.0000 0.0000 0.0000
0.0000 0.5000 0.5000
0.0000 0.3184 0.8184
0.0000 0.6816 0.1816
0.0000 0.8184 0.6816
0.0000 0.1816 0.3184

No. 2
NdCu5S4, optimized geometry, DFT PBE; DOS(E_F) = 0.8 states/eV/cell; total moment = 0.00 μB per formula unit; VASP energy = -4.710 eV per atom
1.0
-0.8740 -1.2143 -3.5855
4.2366 -5.5476 0.8461
-6.4925 0.0573 3.6680
Cu S Nd
5 4 1
direct
0.5000 0.5000 0.0000
0.1805 0.3779 0.3611
0.1805 0.9831 0.3611
0.8195 0.6221 0.6389
0.8195 0.0169 0.6389
0.7296 0.2296 0.4593
0.2704 0.7704 0.5407
0.0000 0.7147 0.0000
0.0000 0.2853 0.0000
0.5000 0.0000 0.0000

No. 3
NdCuS2, optimized geometry, DFT PBE; DOS(E_F) = 3.9 states/eV/cell; total moment = 0.00 μB per formula unit; VASP energy = -4.513 eV per atom
1.0
3.6438 0.0000 0.0000
1.8219 3.1557 0.0000
1.8219 1.0519 7.9192
S Cu Nd
2 1 1
direct
0.8852 0.8852 0.3444
0.1148 0.1148 0.6556
0.5000 0.5000 0.5000
0.0000 0.0000 0.0000

No. 4
Nd2CuS3, optimized geometry, DFT PBE; DOS(E_F) = 1.3 states/eV/cell; total moment = 0.00 μB per formula unit; VASP energy = -5.904 eV per atom
1.0
-3.3321 -1.4866 -1.1695
1.9535 -1.6573 -3.4590
2.2229 -5.0387 6.3477
Nd S Cu
2 3 1
direct
0.6397 0.6397 0.2794
0.3603 0.3603 0.7206
0.1762 0.1762 0.3524
0.0000 0.5000 0.0000
0.8238 0.8238 0.6476
0.0000 0.0000 0.0000

No. 5
Nd4Cu2S, optimized geometry, DFT PBE; DOS(E_F) = 5.6 states/eV/cell; total moment = 0.00 μB per formula unit; VASP energy = -5.112 eV per atom
1.0
3.8422 0.0000 1.1631
1.5879 6.4846 1.6824
-0.1545 0.4226 7.4379
Nd S Cu
4 1 2
direct
0.0912 0.2111 0.6064
0.3292 0.2611 0.0805
0.9088 0.7889 0.3936
0.6708 0.7389 0.9195
0.0000 0.0000 0.0000
0.3888 0.5513 0.6710
0.6112 0.4487 0.3290

No. 6
NdCu3S3, optimized geometry, DFT PBE; total moment = 0.00 μB per formula unit; VASP energy = -5.048 eV per atom
1.0
1.0525 -0.9007 6.6248
-1.2305 -6.0217 2.8340
6.0999 -4.1441 1.9247
Cu S Nd
6 6 2
direct
0.5344 0.2201 0.3685
0.1230 0.4656 0.6315
0.2201 0.8770 0.3685
0.8770 0.5344 0.3685
0.7799 0.1230 0.6315
0.4656 0.7799 0.6315
0.9134 0.2414 0.2616
0.5836 0.9134 0.2616
0.7586 0.4164 0.7384
0.4164 0.0866 0.7384
0.0866 0.7586 0.7384
0.2414 0.5836 0.2616
0.6665 0.6665 0.0005
0.3335 0.3335 0.9995